Entry 1:
A plane-wave DFT calculation with PBE was carried out for a relaxed SrBiH6Pd2 crystal.

Symmetry: C2/c (15)
Uncorrected energy, eV/f.u.: -38.2

Unit cell a=7.5413 b=7.5413 c=4.7086 alpha=93.22 beta=93.22 gamma=110.04
Closest atoms and distances in Å follow each position.
Element x y z (fractional)
Sr1 0.1629 0.8371 0.7500  10 H 2.57-2.75
Sr2 0.8371 0.1629 0.2500  10 H 2.57-2.75
Bi1 0.3986 0.6014 0.2500  2 H 2.30
Bi2 0.6014 0.3986 0.7500  2 H 2.30
H1 0.0378 0.6803 0.2030  1 Pd 1.65
H2 0.1499 0.1557 0.9827  2 Pd 1.72-1.82
H3 0.1557 0.1499 0.4827  2 Pd 1.72-1.82
H4 0.1700 0.5110 0.5690  1 Pd 1.66
H5 0.3197 0.9622 0.2970  1 Pd 1.65
H6 0.4890 0.8300 0.9310  1 Pd 1.66
H7 0.5110 0.1700 0.0690  1 Pd 1.66
H8 0.6803 0.0378 0.7030  1 Pd 1.65
H9 0.8300 0.4890 0.4310  1 Pd 1.66
H10 0.8443 0.8501 0.5173  2 Pd 1.72-1.82
H11 0.8501 0.8443 0.0173  2 Pd 1.72-1.82
H12 0.9622 0.3197 0.7970  1 Pd 1.65
Pd1 0.1841 0.3370 0.7611  4 H 1.65-1.82
Pd2 0.3370 0.1841 0.2611  4 H 1.65-1.82
Pd3 0.6630 0.8159 0.7389  4 H 1.65-1.82
Pd4 0.8159 0.6630 0.2389  4 H 1.65-1.82

Entry 2:
A plane-wave DFT calculation with PBE was carried out for a relaxed Tc2BiHPd crystal.

Symmetry: P4/mmm (123)
Uncorrected energy, eV/f.u.: -21.8

Unit cell a=5.2706 b=5.2706 c=5.1170 alpha=90.00 beta=90.00 gamma=90.00
Closest atoms and distances in Å follow each position.
Element x y z (fractional)
Tc1 0.0000 0.5000 0.0000  2 Bi 2.64
Tc2 0.5000 0.0000 0.0000  2 Bi 2.64
Bi1 0.0000 0.0000 0.0000  2 Pd 2.56, 4 Tc 2.64
H1 0.5000 0.5000 0.5000  8 Tc 3.67, 4 Pd 3.73
Pd1 0.0000 0.0000 0.5000  2 Bi 2.56

Entry 3:
A plane-wave DFT calculation with PBE was carried out for a relaxed Bi3TeH2Pd9 crystal.

Symmetry: P-3m1 (164)
Uncorrected energy, eV/f.u.: -71.1

Unit cell a=5.8242 b=5.8242 c=8.7226 alpha=90.00 beta=90.00 gamma=120.00
Closest atoms and distances in Å follow each position.
Element x y z (fractional)
Bi1 0.0000 0.0000 0.0000  12 Pd 2.91-2.93
Bi2 0.3333 0.6667 0.6254  6 Pd 3.05
Bi3 0.6667 0.3333 0.3746  6 Pd 3.05
Te1 0.0000 0.0000 0.5000  6 Pd 2.65
H1 0.3333 0.6667 0.1197  6 Pd 1.98-2.09
H2 0.6667 0.3333 0.8803  6 Pd 1.98-2.09
Pd1 0.0000 0.5000 0.0000  2 H 1.98
Pd2 0.1718 0.3436 0.2705  1 H 2.09
Pd3 0.1718 0.8282 0.2705  1 H 2.09
Pd4 0.3436 0.1718 0.7295  1 H 2.09
Pd5 0.5000 0.0000 0.0000  2 H 1.98
Pd6 0.5000 0.5000 0.0000  2 H 1.98
Pd7 0.6564 0.8282 0.2705  1 H 2.09
Pd8 0.8282 0.1718 0.7295  1 H 2.09
Pd9 0.8282 0.6564 0.7295  1 H 2.09

Entry 4:
A plane-wave DFT calculation with PBE was carried out for a relaxed BiTe2HPd crystal.

Symmetry: P4/mmm (123)
Uncorrected energy, eV/f.u.: -18.8

Unit cell a=5.4854 b=5.4854 c=3.6845 alpha=90.00 beta=90.00 gamma=90.00
Closest atoms and distances in Å follow each position.
Element x y z (fractional)
Bi1 0.0000 0.0000 0.0000  8 Te 3.30, 2 Bi 3.68
Te1 0.0000 0.5000 0.5000  2 Pd 2.74
Te2 0.5000 0.0000 0.5000  2 Pd 2.74
H1 0.5000 0.5000 0.0000  2 Pd 1.84
Pd1 0.5000 0.5000 0.5000  2 H 1.84

Entry 5:
A plane-wave DFT calculation with PBE was carried out for a relaxed Ti7Bi2H2Pd crystal.

Symmetry: C2/m (12)
Uncorrected energy, eV/f.u.: -78.4

Unit cell a=4.1597 b=4.1597 c=11.4222 alpha=100.41 beta=100.41 gamma=90.01
Closest atoms and distances in Å follow each position.
Element x y z (fractional)
Ti1 0.0000 0.0000 0.0000  2 H 1.99
Ti2 0.0887 0.5887 0.1777  2 H 2.08
Ti3 0.1774 0.1774 0.3572  1 H 1.96
Ti4 0.4113 0.9113 0.8223  2 H 2.08
Ti5 0.5887 0.0887 0.1777  2 H 2.08
Ti6 0.8226 0.8226 0.6428  1 H 1.96
Ti7 0.9113 0.4113 0.8223  2 H 2.08
Bi1 0.3137 0.3137 0.6253  9 Ti 2.95-3.01
Bi2 0.6863 0.6863 0.3747  9 Ti 2.95-3.01
H1 0.0897 0.0897 0.1798  6 Ti 1.96-2.08
H2 0.9103 0.9103 0.8202  6 Ti 1.96-2.08
Pd1 0.5000 0.5000 0.0000  12 Ti 2.86-2.94

Entry 6:
A plane-wave DFT calculation with PBE was carried out for a relaxed TlBi3H2Pd9 crystal.

Symmetry: P-3m1 (164)
Uncorrected energy, eV/f.u.: -69.7

Unit cell a=5.7239 b=5.7239 c=9.1416 alpha=90.00 beta=90.00 gamma=120.00
Closest atoms and distances in Å follow each position.
Element x y z (fractional)
Tl1 0.0000 0.0000 0.0000  6 Pd 2.75
Bi1 0.0000 0.0000 0.5000  12 Pd 2.86-2.94
Bi2 0.3333 0.6667 0.1424  6 Pd 2.99
Bi3 0.6667 0.3333 0.8576  6 Pd 2.99
H1 0.3333 0.6667 0.6182  6 Pd 1.97-2.09
H2 0.6667 0.3333 0.3818  6 Pd 1.97-2.09
Pd1 0.0000 0.5000 0.5000  2 H 1.97
Pd2 0.1702 0.3404 0.7627  1 H 2.09
Pd3 0.1702 0.8298 0.7627  1 H 2.09
Pd4 0.3404 0.1702 0.2373  1 H 2.09
Pd5 0.5000 0.0000 0.5000  2 H 1.97
Pd6 0.5000 0.5000 0.5000  2 H 1.97
Pd7 0.6596 0.8298 0.7627  1 H 2.09
Pd8 0.8298 0.1702 0.2373  1 H 2.09
Pd9 0.8298 0.6596 0.2373  1 H 2.09

Entry 7:
A plane-wave DFT calculation with PBE was carried out for a relaxed TlBi2HPd crystal.

Symmetry: P4/mmm (123)
Uncorrected energy, eV/f.u.: -18.5

Unit cell a=5.7306 b=5.7306 c=3.4795 alpha=90.00 beta=90.00 gamma=90.00
Closest atoms and distances in Å follow each position.
Element x y z (fractional)
Tl1 0.0000 0.0000 0.0000  8 Bi 3.35, 2 Tl 3.48
Bi1 0.0000 0.5000 0.5000  2 Pd 2.87
Bi2 0.5000 0.0000 0.5000  2 Pd 2.87
H1 0.5000 0.5000 0.0000  2 Pd 1.74
Pd1 0.5000 0.5000 0.5000  2 H 1.74

Entry 8:
A plane-wave DFT calculation with PBE was carried out for a relaxed Tl2BiH2Pd7 crystal.

Symmetry: C2/m (12)
Uncorrected energy, eV/f.u.: -53.8

Unit cell a=4.1373 b=4.1373 c=11.0859 alpha=96.16 beta=96.16 gamma=89.79
Closest atoms and distances in Å follow each position.
Element x y z (fractional)
Tl1 0.1308 0.1308 0.3846  9 Pd 2.79-2.99
Tl2 0.8692 0.8692 0.6154  9 Pd 2.79-2.99
Bi1 0.0000 0.0000 0.0000  12 Pd 2.92-2.99
H1 0.4718 0.4718 0.8072  4 Pd 1.92-2.12
H2 0.5282 0.5282 0.1928  4 Pd 1.92-2.12
Pd1 0.0647 0.5682 0.1924  1 H 1.92
Pd2 0.3802 0.3802 0.6202  1 H 2.06
Pd3 0.4318 0.9353 0.8076  1 H 1.92
Pd4 0.5000 0.5000 0.0000  2 H 2.12
Pd5 0.5682 0.0647 0.1924  1 H 1.92
Pd6 0.6198 0.6198 0.3798  1 H 2.06
Pd7 0.9353 0.4318 0.8076  1 H 1.92

Entry 9:
A plane-wave DFT calculation with PBE was carried out for a relaxed TlBiHPd2 crystal.

Symmetry: P4/mmm (123)
Uncorrected energy, eV/f.u.: -13.7

Unit cell a=5.1870 b=5.1870 c=5.7531 alpha=90.00 beta=90.00 gamma=90.00
Closest atoms and distances in Å follow each position.
Element x y z (fractional)
Tl1 0.0000 0.0000 0.0000  4 Pd 2.59, 2 Bi 2.88
Bi1 0.0000 0.0000 0.5000  2 Tl 2.88
H1 0.5000 0.5000 0.5000  4 Bi 3.67, 8 Pd 3.87
Pd1 0.0000 0.5000 0.0000  2 Tl 2.59
Pd2 0.5000 0.0000 0.0000  2 Tl 2.59

Entry 10:
A plane-wave DFT calculation with PBE was carried out for a relaxed TlBi2H2Pd7 crystal.

Symmetry: C2/m (12)
Uncorrected energy, eV/f.u.: -56.0

Unit cell a=4.0873 b=4.0873 c=11.7856 alpha=99.94 beta=99.94 gamma=90.02
Closest atoms and distances in Å follow each position.
Element x y z (fractional)
Tl1 0.0000 0.0000 0.0000  12 Pd 2.89-2.92
Bi1 0.1947 0.1947 0.3925  9 Pd 2.85-3.15
Bi2 0.8053 0.8053 0.6075  9 Pd 2.85-3.15
H1 0.4178 0.4178 0.8285  6 Pd 1.96-2.13
H2 0.5822 0.5822 0.1715  6 Pd 1.96-2.13
Pd1 0.0913 0.5909 0.1829  2 H 2.03-2.06
Pd2 0.3218 0.3218 0.6420  1 H 2.13
Pd3 0.4091 0.9087 0.8171  2 H 2.03-2.06
Pd4 0.5000 0.5000 0.0000  2 H 1.96
Pd5 0.5909 0.0913 0.1829  2 H 2.03-2.06
Pd6 0.6782 0.6782 0.3580  1 H 2.13
Pd7 0.9087 0.4091 0.8171  2 H 2.03-2.06

Entry 11:
A plane-wave DFT calculation with PBE was carried out for a relaxed Y2BiHPd crystal.

Symmetry: P4/mmm (123)
Uncorrected energy, eV/f.u.: -28.5

Unit cell a=5.0155 b=5.0155 c=4.0479 alpha=90.00 beta=90.00 gamma=90.00
Closest atoms and distances in Å follow each position.
Element x y z (fractional)
Y1 0.0000 0.5000 0.0000  2 H 2.51
Y2 0.5000 0.0000 0.0000  2 H 2.51
Bi1 0.0000 0.0000 0.5000  8 Y 3.22, 4 Pd 3.55
H1 0.5000 0.5000 0.0000  2 Pd 2.02
Pd1 0.5000 0.5000 0.5000  2 H 2.02

Entry 12:
A plane-wave DFT calculation with PBE was carried out for a relaxed YBiHPd2 crystal.

Symmetry: P4/mmm (123)
Uncorrected energy, eV/f.u.: -26.5

Unit cell a=4.3755 b=4.3755 c=4.5216 alpha=90.00 beta=90.00 gamma=90.00
Closest atoms and distances in Å follow each position.
Element x y z (fractional)
Y1 0.0000 0.0000 0.0000  2 H 2.26
Bi1 0.5000 0.5000 0.0000  4 Y 3.09, 8 Pd 3.15
H1 0.0000 0.0000 0.5000  4 Pd 2.19, 2 Y 2.26
Pd1 0.0000 0.5000 0.5000  2 H 2.19
Pd2 0.5000 0.0000 0.5000  2 H 2.19

| no. | magnetization (μB/f.u.) |
| --- | --- |
| 1 | 0.00 |
| 2 | 5.62 |
| 3 | 0.00 |
| 4 | 0.00 |
| 5 | 0.00 |
| 6 | 0.00 |
| 7 | 0.00 |
| 8 | 0.00 |
| 9 | 0.70 |
| 10 | 0.00 |
| 11 | 0.74 |
| 12 | 0.00 |